Record 1
VASP calculation (SCAN) on a crystal of Ce3MnBi5 relaxed with PBEsol.

Cell and atoms, written as CIF:
```
data_Ce3MnBi5
_chemical_formula_sum 'Ce6 Mn2 Bi10'
_symmetry_space_group_name_H-M 'P 63/m c m'
_symmetry_Int_Tables_number 193
_symmetry_space_group_name_Hall '-P 6c 2'
_cell_length_a 9.4253
_cell_length_b 9.4253
_cell_length_c 6.3249
_cell_angle_alpha 90.00
_cell_angle_beta 90.00
_cell_angle_gamma 120.00
loop_
_atom_site_label
_atom_site_type_symbol
_atom_site_fract_x
_atom_site_fract_y
_atom_site_fract_z
Ce1 Ce 0.0000 0.3817 0.2500
Mn1 Mn 0.0000 0.0000 0.0000
Bi1 Bi 0.0000 0.2572 0.7500
Bi2 Bi 0.3333 0.6667 0.0000
```

Total DFT energy (no corrections) in eV per atom: -61.24
Magnetization in μB per atom: 0.74

=====

Record 2
VASP calculation (SCAN) on a crystal of CoAsSe4 relaxed with PBEsol.

Cell and atoms, written as CIF:
```
data_CoAsSe4
_chemical_formula_sum 'Co4 As4 Se16'
_symmetry_space_group_name_H-M 'F -4 3 m'
_symmetry_Int_Tables_number 216
_symmetry_space_group_name_Hall 'F -4 2 3'
_cell_length_a 7.782
_cell_length_b 7.782
_cell_length_c 7.782
_cell_angle_alpha 90.00
_cell_angle_beta 90.00
_cell_angle_gamma 90.00
loop_
_atom_site_label
_atom_site_type_symbol
_atom_site_fract_x
_atom_site_fract_y
_atom_site_fract_z
Co1 Co 0.000 0.000 0.000
As1 As 0.250 0.250 0.750
Se1 Se 0.126 0.126 0.374
```

Raw formation energy in eV per atom: 1.04
Total DFT energy (no corrections) in eV per atom: -18.59
Magnetization in μB per atom: 0.33

=====

Record 3
VASP calculation (SCAN) on a crystal of Ca2CdSi2 relaxed with PBEsol.

Cell and atoms, written as CIF:
```
data_Ca2CdSi2
_chemical_formula_sum 'Ca4 Cd2 Si4'
_symmetry_space_group_name_H-M 'I 4/m m m'
_symmetry_Int_Tables_number 139
_symmetry_space_group_name_Hall '-I 4 2'
_cell_length_a 5.787
_cell_length_b 5.787
_cell_length_c 7.707
_cell_angle_alpha 90.00
_cell_angle_beta 90.00
_cell_angle_gamma 90.00
loop_
_atom_site_label
_atom_site_type_symbol
_atom_site_fract_x
_atom_site_fract_y
_atom_site_fract_z
Ca1 Ca 0.000 0.500 0.250
Cd1 Cd 0.000 0.000 0.000
Si1 Si 0.000 0.000 0.348
```

Raw formation energy in eV per atom: 0.01
Total DFT energy (no corrections) in eV per atom: -13.95
Magnetization in μB per atom: 0.00

=====

Record 4
VASP calculation (SCAN) on a crystal of Ru3BrN relaxed with PBEsol.

Cell and atoms, written as CIF:
```
data_Ru3BrN
_chemical_formula_sum 'Ru3 Br1 N1'
_symmetry_space_group_name_H-M 'P m -3 m'
_symmetry_Int_Tables_number 221
_symmetry_space_group_name_Hall '-P 4 2 3'
_cell_length_a 4.054
_cell_length_b 4.054
_cell_length_c 4.054
_cell_angle_alpha 90.00
_cell_angle_beta 90.00
_cell_angle_gamma 90.00
loop_
_atom_site_label
_atom_site_type_symbol
_atom_site_fract_x
_atom_site_fract_y
_atom_site_fract_z
Ru1 Ru 0.000 0.000 0.500
Br1 Br 0.500 0.500 0.500
N1 N 0.000 0.000 0.000
```

Raw formation energy in eV per atom: 0.96
Total DFT energy (no corrections) in eV per atom: -25.69
Magnetization in μB per atom: 0.00